This record from Alexandria describes crystalline La2NbNiO6 at its relaxed geometry. The functional is PBE+U.

The structure in CIF format:
```
data_La2NbNiO6
_symmetry_space_group_name_H-M 'P 1 21/c 1'
_symmetry_Int_Tables_number 14
_cell_length_a 5.691
_cell_length_b 5.751
_cell_length_c 9.808
_cell_angle_alpha 90.00
_cell_angle_beta 125.32
_cell_angle_gamma 90.00
loop_
_symmetry_equiv_pos_as_xyz
'x,y,z'
'-x,-y,-z'
'-x,y+1/2,-z+1/2'
'x,-y+1/2,z+1/2'
loop_
_atom_site_label
_atom_site_fract_x
_atom_site_fract_y
_atom_site_fract_z
La1 0.240 0.061 0.251
Nb1 0.500 0.000 0.000
Ni1 0.000 0.000 0.500
O1 0.156 0.195 0.956
O2 0.243 0.707 0.945
O3 0.346 0.016 0.751
```

density of states at the Fermi level	0.088	states/eV/atom
E_tot	-7.921	eV/atom
M_tot	3.02	μB per formula unit